First-principles (PBE-GGA) data for As2SIO after structural relaxation, as listed in the Alexandria database.

The structure in POSCAR format:
```
As2SIO
1.0
5.450 0.000 0.000
0.000 4.960 0.000
0.000 0.000 5.450
O I As S
1 1 2 1
direct
0.500 0.500 0.500
0.000 0.000 0.000
0.000 0.000 0.500
0.500 0.000 0.000
0.000 0.500 0.000
```

As for the size of the total moment: 0.0 μB per cell. The volume comes out at 29.46 Å³/atom. As for the uncorrected formation energy: 1.770 eV per atom.

***

First-principles (PBE-GGA) data for Ba5Sb2PBr after structural relaxation, as listed in the Alexandria database.

The structure in POSCAR format:
```
Ba5Sb2PBr
1.0
5.922 0.000 0.000
0.000 8.549 0.000
-2.961 -4.274 8.702
Ba Br Sb P
5 1 2 1
direct
0.646 0.917 0.293
0.000 0.000 0.000
0.354 0.083 0.707
0.354 0.624 0.707
0.646 0.376 0.293
0.000 0.500 0.000
0.798 0.798 0.595
0.202 0.202 0.405
0.500 0.000 0.000
```

As for the size of the total moment: 0.0 μB per cell. The volume comes out at 48.95 Å³/atom. As for the uncorrected formation energy: -1.081 eV per atom.

***

First-principles (PBE-GGA) data for Na4PdPb after structural relaxation, as listed in the Alexandria database.

The structure in POSCAR format:
```
Na4PdPb
1.0
5.397 0.000 1.144
2.698 4.911 0.572
0.211 0.000 11.981
Pb Na Pd
2 8 2
direct
0.934 0.000 0.133
0.066 0.000 0.867
0.525 0.662 0.284
0.475 0.338 0.716
0.335 0.330 0.000
0.188 0.338 0.284
0.812 0.662 0.716
0.211 0.000 0.578
0.665 0.670 0.000
0.789 0.000 0.422
0.750 0.501 0.500
0.250 0.499 0.500
```

As for the size of the total moment: 0.0 μB per cell. The volume comes out at 26.36 Å³/atom. The value obtained for the energy of formation from the pure elements is -137 meV/atom.

***

First-principles (PBE-GGA) data for SrLa2Mn after structural relaxation, as listed in the Alexandria database.

The structure in POSCAR format:
```
SrLa2Mn
1.0
0.000 3.843 3.843
3.843 0.000 3.843
3.843 3.843 0.000
Sr La Mn
1 2 1
direct
0.500 0.500 0.500
0.750 0.750 0.750
0.250 0.250 0.250
0.000 0.000 0.000
```

As for the size of the total moment: 0.0 μB per cell. The volume comes out at 28.38 Å³/atom. For the polymorph energy (0 for the lowest one), the calculation gives 1.984 eV/f.u. The value obtained for the energy of formation from the pure elements is 704 meV/atom.

***

First-principles (PBE-GGA) data for Fe2NiAg after structural relaxation, as listed in the Alexandria database.

The structure in POSCAR format:
```
Fe2NiAg
1.0
-5.330 1.159 7.064
-5.924 -1.355 6.537
-3.826 -0.781 8.026
Ni Ag Fe
1 1 2
direct
0.250 0.250 0.250
0.750 0.750 0.750
0.993 0.993 0.993
0.507 0.507 0.507
```

As for the size of the total moment: 5.8 μB per cell. The volume comes out at 13.24 Å³/atom. For the polymorph energy (0 for the lowest one), the calculation gives 0.257 eV/f.u. The value obtained for the energy of formation from the pure elements is 250 meV/atom.

***

First-principles (PBE-GGA) data for Zn9NiPd2 after structural relaxation, as listed in the Alexandria database.

The structure in POSCAR format:
```
Zn9NiPd2
1.0
-1.614 4.002 2.103
-5.381 -2.092 -1.637
-0.091 -2.305 5.642
Zn Ni Pd
9 1 2
direct
0.502 0.155 0.167
0.250 0.409 0.926
0.764 0.239 0.750
0.750 0.591 0.074
0.500 0.500 0.500
0.236 0.761 0.250
0.007 0.689 0.676
0.498 0.845 0.833
0.993 0.311 0.324
0.000 0.000 0.000
0.257 0.106 0.590
0.743 0.894 0.410
```

As for the size of the total moment: 0.0 μB per cell. The volume comes out at 14.41 Å³/atom. The value obtained for the energy of formation from the pure elements is -217 meV/atom.

***

First-principles (PBE-GGA) data for Co2AgRh after structural relaxation, as listed in the Alexandria database.

The structure in POSCAR format:
```
Co2AgRh
1.0
-3.230 0.215 1.800
0.824 -1.928 1.710
2.937 1.922 5.040
Co Ag Rh
2 1 1
direct
0.000 0.969 0.031
0.000 0.531 0.469
0.500 0.750 0.750
0.500 0.250 0.250
```

As for the size of the total moment: 4.5 μB per cell. The volume comes out at 13.81 Å³/atom. The value obtained for the energy of formation from the pure elements is 266 meV/atom.

***

First-principles (PBE-GGA) data for Li3PmDy2S6 after structural relaxation, as listed in the Alexandria database.

The structure in POSCAR format:
```
Li3PmDy2S6
1.0
-5.262 2.607 -3.524
5.237 -2.912 -3.315
-2.871 -5.365 2.526
Dy S Li Pm
2 6 3 1
direct
0.666 0.334 0.000
0.334 0.666 0.000
0.916 0.576 0.748
0.424 0.084 0.252
0.256 0.256 0.747
0.744 0.744 0.253
0.576 0.916 0.748
0.084 0.424 0.252
0.170 0.830 0.500
0.500 0.500 0.500
0.830 0.170 0.500
0.000 0.000 0.000
```

As for the size of the total moment: 0.0 μB per cell. The volume comes out at 20.92 Å³/atom. As for the uncorrected formation energy: -1.831 eV per atom.

***

First-principles (PBE-GGA) data for CaAgB2C after structural relaxation, as listed in the Alexandria database.

The structure in POSCAR format:
```
CaAgB2C
1.0
4.023 0.000 0.000
0.000 6.012 0.000
0.000 0.000 4.023
Ca B C Ag
1 2 1 1
direct
0.000 0.500 0.000
0.000 0.000 0.500
0.500 0.000 0.000
0.500 0.500 0.500
0.000 0.000 0.000
```

As for the size of the total moment: 1.8 μB per cell. The volume comes out at 19.46 Å³/atom. The value obtained for the energy of formation from the pure elements is 1965 meV/atom.

***

First-principles (PBE-GGA) data for SrTlGa2Ni after structural relaxation, as listed in the Alexandria database.

The structure in POSCAR format:
```
SrTlGa2Ni
1.0
4.763 0.000 0.000
0.000 4.763 0.000
0.000 0.000 5.122
Ga Sr Ni Tl
2 1 1 1
direct
0.000 0.500 0.000
0.500 0.000 0.000
0.500 0.500 0.500
0.000 0.000 0.000
0.000 0.000 0.500
```

As for the size of the total moment: 0.0 μB per cell. The volume comes out at 23.24 Å³/atom. The value obtained for the energy of formation from the pure elements is -208 meV/atom.

***

Q: What is the size of the total moment in the third record?
A: 0.0 μB per cell

***

What did the fifth record say?
First-principles (PBE-GGA) data for Fe2NiAg after structural relaxation, as listed in the Alexandria database.

The structure in POSCAR format:
```
Fe2NiAg
1.0
-5.330 1.159 7.064
-5.924 -1.355 6.537
-3.826 -0.781 8.026
Ni Ag Fe
1 1 2
direct
0.250 0.250 0.250
0.750 0.750 0.750
0.993 0.993 0.993
0.507 0.507 0.507
```

As for the size of the total moment: 5.8 μB per cell. The volume comes out at 13.24 Å³/atom. For the polymorph energy (0 for the lowest one), the calculation gives 0.257 eV/f.u. The value obtained for the energy of formation from the pure elements is 250 meV/atom.

***

Q: Number 3 is which compound?
A: Na4PdPb

***

Q: size of the total moment of number 7 (Co2AgRh)?
A: 4.5 μB per cell